Record 1
LaTlW2, optimized geometry, DFT PBE; space-group type = I4/mmm (139); E above lowest polymorph = 75.41 kJ per mole of atoms; D(E_F) = 6.24 states/eV per cell
1.0
-2.1511 2.1511 4.7447
2.1511 -2.1511 4.7447
2.1511 2.1511 -4.7447
La Tl W
1 1 2
Cartesian
0.0000 0.0000 0.0000 La
0.0000 0.0000 4.7447 Tl
2.1511 0.0000 2.3723 W
0.0000 2.1511 2.3723 W

***

Record 2
K2CuPt, optimized geometry, DFT PBE; space-group type = P4/mmm (123); E above lowest polymorph = 26.24 kJ per mole of atoms; D(E_F) = 0.73 states/eV per cell
1.0
4.3227 0.0000 0.0000
0.0000 4.3227 0.0000
0.0000 0.0000 5.5653
K Cu Pt
2 1 1
Cartesian
0.0000 0.0000 1.3701 K
0.0000 0.0000 4.1952 K
2.1614 2.1614 2.7827 Cu
2.1614 2.1614 0.0000 Pt

***

Record 3
Ba4GaSn3, optimized geometry, DFT PBE; space-group type = Pmm2 (25); uncorrected energy = -3.46 eV per atom; D(E_F) = 5.32 states/eV per cell
1.0
4.7039 0.0000 0.0000
0.0000 5.2728 0.0000
0.0000 0.0000 12.7792
Ba Ga Sn
4 1 3
Cartesian
0.0000 0.0000 0.0000 Ba
0.0000 2.6364 6.3416 Ba
2.3519 0.0000 3.4647 Ba
2.3519 2.6364 9.8781 Ba
0.0000 2.6364 2.6214 Ga
0.0000 0.0000 9.0306 Sn
2.3519 0.0000 7.1961 Sn
2.3519 2.6364 0.8973 Sn

***

Question: Which of these has the highest D(E_F)?
Answer: LaTlW2

***

Question: Which value of D(E_F) does entry 1 give?
Answer: 6.24 states/eV per cell

***

Question: What is the D(E_F) in the first record?
Answer: 6.24 states/eV per cell